Entry 1:
The following is a DFT calculation (PBE-GGA) of a geometry-optimized ScZnGa structure.

Energy of formation ... -0.402 eV per atom

Cell lengths 5.9320, 4.2775, 8.3295 Å; angles 90.00, 90.00, 90.00 degrees
Fractional coordinates of all 12 atoms:
Sc1 0.1593 0.2500 0.0893
Sc2 0.3407 0.7500 0.5893
Sc3 0.6593 0.2500 0.4107
Sc4 0.8407 0.7500 0.9107
Zn1 0.1437 0.2500 0.4211
Zn2 0.3563 0.7500 0.9211
Zn3 0.6437 0.2500 0.0789
Zn4 0.8563 0.7500 0.5789
Ga1 0.0629 0.2500 0.7376
Ga2 0.4371 0.7500 0.2376
Ga3 0.5629 0.2500 0.7624
Ga4 0.9371 0.7500 0.2624

***

Entry 2:
The following is a DFT calculation (PBE-GGA) of a geometry-optimized PmFeOs structure.

Energy of formation ... -0.095 eV per atom

Cell lengths 5.3670, 5.3670, 5.3670 Å; angles 121.41, 119.83, 88.93 degrees
Fractional coordinates of all 6 atoms:
Pm1 0.3723 0.1223 0.2500
Pm2 0.6277 0.8777 0.7500
Fe1 0.0000 0.5000 0.5000
Fe2 0.5000 0.5000 0.0000
Os1 0.0000 0.0000 0.5000
Os2 0.0000 0.5000 0.0000

***

Entry 3:
The following is a DFT calculation (PBE-GGA) of a geometry-optimized SrCaCuW2 structure.

Energy of formation ... 2.689 eV per atom

Cell lengths 4.7927, 4.7927, 5.5903 Å; angles 90.00, 90.00, 90.00 degrees
Fractional coordinates of all 5 atoms:
Sr1 0.0000 0.0000 0.0000
Ca1 0.0000 0.0000 0.5000
Cu1 0.5000 0.5000 0.0000
W1 0.0000 0.5000 0.5000
W2 0.5000 0.0000 0.5000

***

Entry 4:
The following is a DFT calculation (PBE-GGA) of a geometry-optimized Rb2TlGa3F12 structure.

E_form (uncorrected) ... -2636 meV/atom

Cell lengths 7.5491, 7.5491, 7.5491 Å; angles 59.43, 59.43, 59.43 degrees
Fractional coordinates of all 18 atoms:
Rb1 0.1207 0.1207 0.1207
Rb2 0.8793 0.8793 0.8793
Tl1 0.5000 0.5000 0.5000
Ga1 0.0000 0.5000 0.5000
Ga2 0.5000 0.0000 0.5000
Ga3 0.5000 0.5000 0.0000
F1 0.0485 0.6227 0.6227
F2 0.2205 0.2205 0.6049
F3 0.2205 0.6049 0.2205
F4 0.3773 0.3773 0.9515
F5 0.3773 0.9515 0.3773
F6 0.3951 0.7795 0.7795
F7 0.6049 0.2205 0.2205
F8 0.6227 0.0485 0.6227
F9 0.6227 0.6227 0.0485
F10 0.7795 0.3951 0.7795
F11 0.7795 0.7795 0.3951
F12 0.9515 0.3773 0.3773

***

Entry 5:
The following is a DFT calculation (PBE-GGA) of a geometry-optimized NdHoEr structure.

Energy of formation ... 0.021 eV per atom

Cell lengths 6.1743, 6.1743, 6.1778 Å; angles 99.46, 99.46, 119.96 degrees
Fractional coordinates of all 6 atoms:
Nd1 0.2501 0.7499 0.7500
Nd2 0.7499 0.2501 0.2500
Ho1 0.0818 0.9182 0.2500
Ho2 0.9182 0.0818 0.7500
Er1 0.4183 0.5817 0.2500
Er2 0.5817 0.4183 0.7500

***

Entry 6:
The following is a DFT calculation (PBE-GGA) of a geometry-optimized TbPrNiRh structure.

Energy of formation ... -0.558 eV per atom

Cell lengths 4.1310, 5.7936, 5.7936 Å; angles 39.56, 90.00, 90.00 degrees
Fractional coordinates of all 4 atoms:
Tb1 0.0000 0.0000 0.0000
Pr1 0.5000 0.7199 0.7199
Ni1 0.0000 0.2891 0.2891
Rh1 0.5000 0.4445 0.4445

***

Entry 7:
The following is a DFT calculation (PBE-GGA) of a geometry-optimized RbCu4I7 structure.

E_form (uncorrected) ... -374 meV/atom

Cell lengths 16.9465, 7.1506, 6.9880 Å; angles 90.00, 90.00, 90.00 degrees
Fractional coordinates of all 24 atoms:
Rb1 0.0000 0.1562 0.0000
Rb2 0.5000 0.8438 0.5000
Cu1 0.1224 0.6650 0.6557
Cu2 0.2498 0.1736 0.6488
Cu3 0.2502 0.8264 0.1488
Cu4 0.3776 0.3350 0.1557
Cu5 0.6224 0.3350 0.1557
Cu6 0.7502 0.1736 0.6488
Cu7 0.7498 0.8264 0.1488
Cu8 0.8776 0.6650 0.6557
I1 0.0000 0.8382 0.5236
I2 0.1197 0.3242 0.5366
I3 0.1209 0.6807 0.0256
I4 0.2489 0.8285 0.5229
I5 0.2511 0.1715 0.0229
I6 0.3791 0.3193 0.5256
I7 0.3803 0.6758 0.0366
I8 0.5000 0.1618 0.0236
I9 0.6197 0.6758 0.0366
I10 0.6209 0.3193 0.5256
I11 0.7489 0.1715 0.0229
I12 0.7511 0.8285 0.5229
I13 0.8791 0.6807 0.0256
I14 0.8803 0.3242 0.5366

***

Entry 8:
The following is a DFT calculation (PBE-GGA) of a geometry-optimized SiPHS structure.

VASP energy ... -19.2 eV/f.u.

Cell lengths 3.4951, 3.5957, 6.1494 Å; angles 90.00, 93.26, 90.00 degrees
Fractional coordinates of all 4 atoms:
Si1 0.0000 0.0000 0.0000
P1 0.0269 0.5000 0.7737
H1 0.6293 0.5000 0.7006
S1 0.5190 0.0000 0.2156

***

Entry 9:
The following is a DFT calculation (PBE-GGA) of a geometry-optimized AcPb2Au9 structure.

Energy of formation ... -0.270 eV per atom

Cell lengths 9.9068, 9.9068, 9.9068 Å; angles 33.70, 33.70, 33.70 degrees
Fractional coordinates of all 12 atoms:
Ac1 0.0000 0.0000 0.0000
Pb1 0.1476 0.1476 0.1476
Pb2 0.8524 0.8524 0.8524
Au1 0.0818 0.5844 0.5844
Au2 0.3329 0.3329 0.3329
Au3 0.4156 0.4156 0.9182
Au4 0.4156 0.9182 0.4156
Au5 0.5000 0.5000 0.5000
Au6 0.5844 0.0818 0.5844
Au7 0.5844 0.5844 0.0818
Au8 0.6671 0.6671 0.6671
Au9 0.9182 0.4156 0.4156

***

Entry 10:
The following is a DFT calculation (PBE-GGA) of a geometry-optimized LaPrCd2In2 structure.

Energy of formation ... -0.455 eV per atom

Cell lengths 4.9956, 4.9956, 7.7182 Å; angles 90.00, 90.00, 120.00 degrees
Fractional coordinates of all 6 atoms:
La1 0.0000 0.0000 0.0000
Pr1 0.0000 0.0000 0.5000
Cd1 0.3333 0.6667 0.2659
Cd2 0.6667 0.3333 0.7341
In1 0.3333 0.6667 0.7459
In2 0.6667 0.3333 0.2541

***

Entry 11:
The following is a DFT calculation (PBE-GGA) of a geometry-optimized Li2IO structure.

E_form (uncorrected) ... -657 meV/atom

Cell lengths 4.5734, 4.5734, 4.5734 Å; angles 60.00, 60.00, 60.00 degrees
Fractional coordinates of all 4 atoms:
Li1 0.2500 0.2500 0.2500
Li2 0.7500 0.7500 0.7500
I1 0.0000 0.0000 0.0000
O1 0.5000 0.5000 0.5000

***

Entry 12:
The following is a DFT calculation (PBE-GGA) of a geometry-optimized Ba4MgCd structure.

Energy of formation ... 0.015 eV per atom

Cell lengths 6.0804, 6.0805, 8.6529 Å; angles 89.96, 89.99, 89.99 degrees
Fractional coordinates of all 6 atoms:
Ba1 0.0000 0.0000 0.0000
Ba2 0.9998 0.0005 0.4826
Ba3 0.4999 0.5002 0.0000
Ba4 0.4997 0.5008 0.4827
Mg1 0.5006 0.0021 0.7421
Cd1 0.9998 0.5004 0.2415

***

Entry 13:
The following is a DFT calculation (PBE-GGA) of a geometry-optimized NiTeSeI2 structure.

E_form (uncorrected) ... 431 meV/atom

Cell lengths 5.1223, 5.1223, 5.2106 Å; angles 90.00, 90.00, 90.00 degrees
Fractional coordinates of all 5 atoms:
Ni1 0.0000 0.0000 0.0000
Te1 0.0000 0.0000 0.5000
Se1 0.5000 0.5000 0.5000
I1 0.0000 0.5000 0.0000
I2 0.5000 0.0000 0.0000

***

Entry 14:
The following is a DFT calculation (PBE-GGA) of a geometry-optimized Ca2PmZn9 structure.

Energy of formation ... -0.272 eV per atom

Cell lengths 9.1826, 9.1826, 9.1826 Å; angles 34.99, 34.99, 34.99 degrees
Fractional coordinates of all 12 atoms:
Ca1 0.1424 0.1424 0.1424
Ca2 0.8576 0.8576 0.8576
Pm1 0.0000 0.0000 0.0000
Zn1 0.0751 0.5850 0.5850
Zn2 0.3352 0.3352 0.3352
Zn3 0.4150 0.4150 0.9249
Zn4 0.4150 0.9249 0.4150
Zn5 0.5000 0.5000 0.5000
Zn6 0.5850 0.0751 0.5850
Zn7 0.5850 0.5850 0.0751
Zn8 0.6648 0.6648 0.6648
Zn9 0.9249 0.4150 0.4150

***

Entry 15:
The following is a DFT calculation (PBE-GGA) of a geometry-optimized Pm6Rh2I3Cl structure.

E_form (uncorrected) ... -997 meV/atom

Cell lengths 7.3718, 7.3718, 8.2938 Å; angles 98.51, 98.51, 119.83 degrees
Fractional coordinates of all 12 atoms:
Pm1 0.0731 0.4361 0.8105
Pm2 0.1999 0.1999 0.1877
Pm3 0.4361 0.0731 0.8105
Pm4 0.5639 0.9269 0.1895
Pm5 0.8001 0.8001 0.8123
Pm6 0.9269 0.5639 0.1895
Rh1 0.1671 0.8329 0.0000
Rh2 0.8329 0.1671 0.0000
I1 0.0000 0.0000 0.5000
I2 0.3385 0.6615 0.5000
I3 0.6615 0.3385 0.5000
Cl1 0.5000 0.5000 0.0000

***

Entry 16:
The following is a DFT calculation (PBE-GGA) of a geometry-optimized BaHgBiPb structure.

Energy of formation ... -0.416 eV per atom

Cell lengths 5.7921, 5.7921, 5.7921 Å; angles 60.00, 60.00, 60.00 degrees
Fractional coordinates of all 4 atoms:
Ba1 0.0000 0.0000 0.0000
Hg1 0.2500 0.2500 0.2500
Bi1 0.7500 0.7500 0.7500
Pb1 0.5000 0.5000 0.5000

***

Entry 17:
The following is a DFT calculation (PBE-GGA) of a geometry-optimized SiAsP2 structure.

E_form (uncorrected) ... 592 meV/atom

Cell lengths 3.5303, 3.5303, 5.3028 Å; angles 90.00, 90.00, 90.00 degrees
Fractional coordinates of all 4 atoms:
Si1 0.0000 0.0000 0.0000
As1 0.0000 0.0000 0.5000
P1 0.5000 0.5000 0.2090
P2 0.5000 0.5000 0.7910

***

Entry 18:
The following is a DFT calculation (PBE-GGA) of a geometry-optimized Nd5Sm2ErTh structure.

Energy of formation ... 0.138 eV per atom

Cell lengths 11.2993, 11.2993, 10.5858 Å; angles 90.00, 90.00, 152.10 degrees
Fractional coordinates of all 18 atoms:
Nd1 0.0000 0.0000 0.0000
Nd2 0.0000 0.0000 0.5000
Nd3 0.1271 0.8729 0.7500
Nd4 0.2227 0.7773 0.0580
Nd5 0.2227 0.7773 0.4420
Nd6 0.4987 0.5013 0.2500
Nd7 0.5013 0.4987 0.7500
Nd8 0.7773 0.2227 0.5580
Nd9 0.7773 0.2227 0.9420
Nd10 0.8729 0.1271 0.2500
Sm1 0.3872 0.6128 0.5023
Sm2 0.3872 0.6128 0.9977
Sm3 0.6128 0.3872 0.0023
Sm4 0.6128 0.3872 0.4977
Er1 0.1024 0.8976 0.2500
Er2 0.8976 0.1024 0.7500
Th1 0.2885 0.7115 0.7500
Th2 0.7115 0.2885 0.2500

***

Entry 19:
The following is a DFT calculation (PBE-GGA) of a geometry-optimized NaScZnPb structure.

Energy of formation ... -0.142 eV per atom

Cell lengths 5.0569, 5.0569, 5.0569 Å; angles 60.00, 60.00, 60.00 degrees
Fractional coordinates of all 4 atoms:
Na1 0.0000 0.0000 0.0000
Sc1 0.5000 0.5000 0.5000
Zn1 0.7500 0.7500 0.7500
Pb1 0.2500 0.2500 0.2500

***

Entry 20:
The following is a DFT calculation (PBE-GGA) of a geometry-optimized K2ZnHgF6 structure.

E_form (uncorrected) ... -2261 meV/atom

Cell lengths 6.1548, 8.7148, 6.1663 Å; angles 90.00, 90.00, 90.00 degrees
Fractional coordinates of all 20 atoms:
K1 0.2500 0.0008 0.2470
K2 0.2500 0.4992 0.2470
K3 0.7500 0.5008 0.7530
K4 0.7500 0.9992 0.7530
Zn1 0.2500 0.7500 0.7518
Zn2 0.7500 0.2500 0.2482
Hg1 0.2500 0.2500 0.7476
Hg2 0.7500 0.7500 0.2524
F1 0.0139 0.7500 0.5185
F2 0.0156 0.7500 0.9875
F3 0.2500 0.5151 0.7534
F4 0.2500 0.9849 0.7534
F5 0.4844 0.7500 0.9875
F6 0.4861 0.7500 0.5185
F7 0.5139 0.2500 0.4815
F8 0.5156 0.2500 0.0125
F9 0.7500 0.0151 0.2466
F10 0.7500 0.4849 0.2466
F11 0.9844 0.2500 0.0125
F12 0.9861 0.2500 0.4815

***

Entry 21:
The following is a DFT calculation (PBE-GGA) of a geometry-optimized Tm6InPb5 structure.

Energy of formation ... -0.371 eV per atom

Cell lengths 9.0311, 9.0311, 4.9284 Å; angles 105.76, 105.76, 112.12 degrees
Fractional coordinates of all 12 atoms:
Tm1 0.0829 0.4151 0.7489
Tm2 0.2483 0.2483 0.2480
Tm3 0.4151 0.0829 0.7489
Tm4 0.5849 0.9171 0.2511
Tm5 0.7517 0.7517 0.7520
Tm6 0.9171 0.5849 0.2511
In1 0.0000 0.0000 0.5000
Pb1 0.1633 0.8367 0.0000
Pb2 0.3330 0.6670 0.5000
Pb3 0.5000 0.5000 0.0000
Pb4 0.6670 0.3330 0.5000
Pb5 0.8367 0.1633 0.0000

***

Entry 22:
The following is a DFT calculation (PBE-GGA) of a geometry-optimized BaSc2Cl structure.

E_form (uncorrected) ... -246 meV/atom

Cell lengths 11.2049, 11.2049, 11.2049 Å; angles 18.59, 18.59, 18.59 degrees
Fractional coordinates of all 4 atoms:
Ba1 0.0000 0.0000 0.0000
Sc1 0.4255 0.4255 0.4255
Sc2 0.5745 0.5745 0.5745
Cl1 0.5000 0.5000 0.5000

***

Entry 23:
The following is a DFT calculation (PBE-GGA) of a geometry-optimized ErMgInHg structure.

Energy of formation ... -0.369 eV per atom

Cell lengths 4.1305, 4.7678, 4.8213 Å; angles 90.00, 90.00, 90.00 degrees
Fractional coordinates of all 4 atoms:
Er1 0.0000 0.0000 0.0000
Mg1 0.0000 0.5000 0.5000
In1 0.5000 0.5000 0.0000
Hg1 0.5000 0.0000 0.5000